# 1
A plane-wave DFT calculation with PBE was carried out for a geometry-optimized Sm2Er5In structure.

The energy is -4.478 eV per atom. For the size of the total moment, the calculation gives 0.02 μB/cell.

The space group is I4/mmm (No. 139) and the conventional cell measures 4.8833, 4.8833 and 20.1283 Å, with angles of 90.00, 90.00 and 90.00 degrees. The distinct sites, in fractional coordinates, are Sm at (0.0000, 0.0000, 0.2444), Er at (0.0000, 0.0000, 0.0000), Er at (0.0000, 0.5000, 0.1198) and In at (0.0000, 0.0000, 0.5000).

# 2
A plane-wave DFT calculation with PBE was carried out for a geometry-optimized SmErIn6 structure.

The energy is -3.571 eV per atom. As for the excess energy over the best structure of this formula in the dataset: 64.3 meV per atom. For the size of the total moment, the calculation gives 0.00 μB/cell.

The space group is P-6m2 (No. 187) and the conventional cell measures 6.6275, 6.6275 and 5.3171 Å, with angles of 90.00, 90.00 and 120.00 degrees. The distinct sites, in fractional coordinates, are Sm at (0.0000, 0.0000, 0.0000), Er at (0.6667, 0.3333, 0.5000), In at (0.0076, 0.5038, 0.0000) and In at (0.1736, 0.3472, 0.5000).

# 3
A plane-wave DFT calculation with PBE was carried out for a geometry-optimized Sm4ErIn2 structure.

The energy is -4.304 eV per atom. As for the excess energy over the best structure of this formula in the dataset: 0.0 meV per atom. For the size of the total moment, the calculation gives 0.00 μB/cell.

The space group is P2_1/m (No. 11) and the conventional cell measures 8.5196, 6.6443 and 8.6154 Å, with angles of 90.00, 119.23 and 90.00 degrees. The distinct sites, in fractional coordinates, are Sm at (0.0427, 0.2500, 0.0385), Sm at (0.1033, 0.7500, 0.3901), Sm at (0.4415, 0.5035, 0.2684), Er at (0.2530, 0.7500, 0.8317), In at (0.1880, 0.2500, 0.4610) and In at (0.3275, 0.2500, 0.8897).

# 4
A plane-wave DFT calculation with PBE was carried out for a geometry-optimized SmEr4In5 structure.

The energy is -4.118 eV per atom. For the size of the total moment, the calculation gives 0.00 μB/cell.

The space group is P4/mmm (No. 123) and the conventional cell measures 3.7337, 3.7337 and 18.9519 Å, with angles of 90.00, 90.00 and 90.00 degrees. The distinct sites, in fractional coordinates, are Sm at (0.0000, 0.0000, 0.0000), Er at (0.0000, 0.0000, 0.2047), Er at (0.0000, 0.0000, 0.4017), In at (0.5000, 0.5000, 0.1064), In at (0.5000, 0.5000, 0.3034) and In at (0.5000, 0.5000, 0.5000).

# 5
A plane-wave DFT calculation with PBE was carried out for a geometry-optimized SmEr4In4 structure.

The energy is -3.925 eV per atom. For the size of the total moment, the calculation gives 0.00 μB/cell.

The space group is P4_2/nmc (No. 137, origin choice 2) and the conventional cell measures 7.2068, 7.2068 and 10.4917 Å, with angles of 90.00, 90.00 and 90.00 degrees. The distinct sites, in fractional coordinates, are Sm at (0.2500, 0.7500, 0.2500), Er at (0.0179, 0.2500, 0.1621) and In at (0.0359, 0.2500, 0.4601).

# 6
A plane-wave DFT calculation with PBE was carried out for a geometry-optimized Sm3Er4In4 structure.

The energy is -4.214 eV per atom. For the size of the total moment, the calculation gives 0.00 μB/cell.

The space group is Immm (No. 71) and the conventional cell measures 5.2774, 6.9920 and 17.5573 Å, with angles of 90.00, 90.00 and 90.00 degrees. The distinct sites, in fractional coordinates, are Sm at (0.0000, 0.0000, 0.0000), Sm at (0.0000, 0.5000, 0.1029), Er at (0.0000, 0.2644, 0.3207), In at (0.0000, 0.0000, 0.1771) and In at (0.0000, 0.2148, 0.5000).

# 7
A plane-wave DFT calculation with PBE was carried out for a geometry-optimized Sm12ErIn3 structure.

The energy is -4.533 eV per atom. For the size of the total moment, the calculation gives 0.00 μB/cell.

The space group is P4/mmm (No. 123) and the conventional cell measures 4.9442, 4.9442 and 20.1269 Å, with angles of 90.00, 90.00 and 90.00 degrees. The distinct sites, in fractional coordinates, are Sm at (0.0000, 0.0000, 0.0000), Sm at (0.0000, 0.0000, 0.2465), Sm at (0.0000, 0.0000, 0.5000), Sm at (0.0000, 0.5000, 0.1234), Sm at (0.0000, 0.5000, 0.3700), Er at (0.5000, 0.5000, 0.5000), In at (0.5000, 0.5000, 0.0000) and In at (0.5000, 0.5000, 0.2443).

# 8
A plane-wave DFT calculation with PBE was carried out for a geometry-optimized Sm3Er2In structure.

The energy is -4.459 eV per atom. As for the excess energy over the best structure of this formula in the dataset: 35.4 meV per atom. For the size of the total moment, the calculation gives 0.39 μB/cell.

The space group is P2_1/m (No. 11) and the conventional cell measures 8.5777, 3.7098 and 11.6978 Å, with angles of 90.00, 91.02 and 90.00 degrees. The distinct sites, in fractional coordinates, are Sm at (0.0916, 0.2500, 0.1039), Sm at (0.3482, 0.7500, 0.5706), Sm at (0.3875, 0.7500, 0.2507), Er at (0.0848, 0.2500, 0.3942), Er at (0.3524, 0.7500, 0.9289) and In at (0.1625, 0.2500, 0.7531).

# 9
A plane-wave DFT calculation with PBE was carried out for a geometry-optimized SmEr3In2 structure.

The energy is -4.225 eV per atom. As for the excess energy over the best structure of this formula in the dataset: 34.5 meV per atom. For the size of the total moment, the calculation gives 1.63 μB/cell.

The space group is C2/m (No. 12) and the conventional cell measures 16.2010, 5.3421 and 9.1991 Å, with angles of 90.00, 119.71 and 90.00 degrees. The distinct sites, in fractional coordinates, are Sm at (0.1314, 0.0000, 0.1689), Er at (0.0592, 0.0000, 0.7146), Er at (0.1156, 0.5000, 0.5444), Er at (0.1925, 0.5000, 0.9908), In at (0.0212, 0.5000, 0.1697) and In at (0.2269, 0.0000, 0.5938).

# 10
A plane-wave DFT calculation with PBE was carried out for a geometry-optimized Sm9ErIn2 structure.

The energy is -4.547 eV per atom. For the size of the total moment, the calculation gives 0.00 μB/cell.

The space group is P4/mmm (No. 123) and the conventional cell measures 4.9529, 4.9529 and 15.1526 Å, with angles of 90.00, 90.00 and 90.00 degrees. The distinct sites, in fractional coordinates, are Sm at (0.0000, 0.0000, 0.0000), Sm at (0.0000, 0.0000, 0.3364), Sm at (0.0000, 0.5000, 0.1721), Sm at (0.0000, 0.5000, 0.5000), Er at (0.5000, 0.5000, 0.0000) and In at (0.5000, 0.5000, 0.3388).

# 11
A plane-wave DFT calculation with PBE was carried out for a geometry-optimized Sm12Er7In structure.

The energy is -3.888 eV per atom. As for the excess energy over the best structure of this formula in the dataset: 519.5 meV per atom. For the size of the total moment, the calculation gives 0.00 μB/cell.

The space group is Im-3m (No. 229) and the conventional cell measures 11.4657, 11.4657 and 11.4657 Å, with angles of 90.00, 90.00 and 90.00 degrees. The distinct sites, in fractional coordinates, are Sm at (0.0000, 0.2224, 0.2224), Er at (0.0000, 0.0000, 0.5000), Er at (0.2500, 0.2500, 0.2500) and In at (0.0000, 0.0000, 0.0000).

# 12
A plane-wave DFT calculation with PBE was carried out for a geometry-optimized Sm4ErIn structure.

The energy is -4.379 eV per atom. As for the excess energy over the best structure of this formula in the dataset: 59.3 meV per atom. For the size of the total moment, the calculation gives 0.00 μB/cell.

The space group is Cmc2_1 (No. 36) and the conventional cell measures 5.6521, 21.1770 and 6.4592 Å, with angles of 90.00, 90.00 and 90.00 degrees. The distinct sites, in fractional coordinates, are Sm at (0.0000, 0.0430, 0.0000), Sm at (0.0000, 0.1872, 0.8411), Sm at (0.0000, 0.2486, 0.3106), Sm at (0.0000, 0.4375, 0.1796), Er at (0.0000, 0.3635, 0.6914) and In at (0.0000, 0.1040, 0.4428).

What did the eleventh record say?
A plane-wave DFT calculation with PBE was carried out for a geometry-optimized Sm12Er7In structure.

The energy is -3.888 eV per atom. As for the excess energy over the best structure of this formula in the dataset: 519.5 meV per atom. For the size of the total moment, the calculation gives 0.00 μB/cell.

The space group is Im-3m (No. 229) and the conventional cell measures 11.4657, 11.4657 and 11.4657 Å, with angles of 90.00, 90.00 and 90.00 degrees. The distinct sites, in fractional coordinates, are Sm at (0.0000, 0.2224, 0.2224), Er at (0.0000, 0.0000, 0.5000), Er at (0.2500, 0.2500, 0.2500) and In at (0.0000, 0.0000, 0.0000).

The highest energy belongs to which entry? SmErIn6

What is the energy in the fifth record? -3.925 eV per atom

Which formula does entry 2 have? SmErIn6